ReMoIr2 meta-GGA SCAN single point on PBEsol structure; density of states at the Fermi level = 0.5896 states/eV per atom; density = 19.3 g/cm3; calculated formation energy = -0.323 eV/atom; excess energy over the best structure of this formula in the dataset = 0.091 eV per atom
1.0
3.843 0.000 0.000
0.000 3.843 0.000
0.000 0.000 3.884
Re Mo Ir
1 1 2
Direct
0.000 0.000 0.000
0.500 0.500 0.000
0.000 0.500 0.500
0.500 0.000 0.500

Na3LiSn meta-GGA SCAN single point on PBEsol structure; density of states at the Fermi level = 0.5402 states/eV per atom; density = 2.2 g/cm3; calculated formation energy = 0.315 eV/atom; excess energy over the best structure of this formula in the dataset = 0.178 eV per atom
1.0
5.311 0.000 0.000
0.000 5.311 0.000
0.000 0.000 5.311
Na Li Sn
3 1 1
Direct
0.000 0.000 0.500
0.000 0.500 0.000
0.500 0.000 0.000
0.000 0.000 0.000
0.500 0.500 0.500